(1)
This record from Alexandria via LeMat-Bulk describes crystalline Al2GePbS6 at its relaxed geometry. The functional is PBE.

Cell: 13.096 13.334 6.797 Å, 90.00 117.23 90.00°
Space group C2/c (No. 15)
Inequivalent atoms, fractional coordinates:
Al: 0.229 0.088 0.362 x8
Ge: 0.000 0.306 0.250 x4
Pb: 0.000 0.122 0.750 x4
S: 0.088 0.394 0.562 x8
S: 0.135 0.231 0.181 x8
S: 0.155 0.032 0.585 x8

For the formation energy (no corrections), the calculation gives -7.1 eV/f.u. The density comes out at 3.31 Mg/m³.

(2)
This record from Alexandria via LeMat-Bulk describes crystalline AlGe2PbS6 at its relaxed geometry. The functional is PBE.

Cell: 13.312 11.449 7.764 Å, 90.00 117.95 90.00°
Space group C2/c (No. 15)
Inequivalent atoms, fractional coordinates:
Al: 0.000 0.191 0.250 x4
Ge: 0.195 0.434 0.660 x8
Pb: 0.000 0.152 0.750 x4
S: 0.107 0.068 0.166 x8
S: 0.130 0.249 0.551 x8
S: 0.146 0.434 0.920 x8

For the formation energy (no corrections), the calculation gives -3.9 eV/f.u. The density comes out at 3.63 Mg/m³.

(3)
This record from Alexandria via LeMat-Bulk describes crystalline AlGeSb2Pb at its relaxed geometry. The functional is PBE.

Cell: 5.305 5.305 5.343 Å, 90.00 90.00 90.00°
Space group P4/mmm (No. 123)
Inequivalent atoms, fractional coordinates:
Al: 0.000 0.000 0.000 x1
Ge: 0.500 0.500 0.500 x1
Sb: 0.000 0.500 0.000 x2
Pb: 0.000 0.000 0.500 x1

For the formation energy (no corrections), the calculation gives 3.0 eV/f.u. The density comes out at 6.08 Mg/m³.